Record 1
DFT (GGA-PBE) results for Ir2PbSe after structural relaxation.

Output
- Symmetry: Cm (8)
- Electronic total energy: -0.433 Ry/atom

Cell lengths 8.456, 3.402, 5.651 Å; angles 90.00, 99.69, 90.00 degrees
Atoms (fractional coordinates):
Ir 0.000 0.000 0.000
Ir 0.247 0.500 0.274
Ir 0.500 0.500 0.000
Ir 0.747 0.000 0.274
Pb 0.252 0.000 0.744
Pb 0.752 0.500 0.744
Se 0.461 0.000 0.310
Se 0.961 0.500 0.310


Record 2
DFT (GGA-PBE) results for Tb6Ir2PbSe3 after structural relaxation.

Output
- Symmetry: C2/m (12)
- Electronic total energy: -0.454 Ry/atom

Cell lengths 9.700, 9.700, 8.633 Å; angles 111.10, 111.10, 24.13 degrees
Atoms (fractional coordinates):
Tb 0.001 0.001 0.230
Tb 0.318 0.318 0.952
Tb 0.324 0.324 0.407
Tb 0.676 0.676 0.593
Tb 0.682 0.682 0.048
Tb 0.999 0.999 0.770
Ir 0.156 0.156 0.801
Ir 0.844 0.844 0.199
Pb 0.500 0.500 0.500
Se 0.164 0.164 0.320
Se 0.500 0.500 0.000
Se 0.836 0.836 0.680


no.,total moment (μB/atom)
1,0.000
2,0.000